! Rb3SnBi2 | Alexandria | GGA-PBE | optimized geometry; values from VASP
&SYSTEM
  ibrav = 0, nat = 24, ntyp = 3
/
ATOMIC_SPECIES
Rb 85.47 Rb.upf
Sn 118.71 Sn.upf
Bi 208.98 Bi.upf
CELL_PARAMETERS angstrom
-0.744 -1.163 -5.316
-4.789 -13.658 3.658
-13.465 4.937 0.805
ATOMIC_POSITIONS crystal
Rb 0.250 0.389 0.069
Rb 0.750 0.611 0.931
Rb 0.750 0.889 0.431
Rb 0.250 0.111 0.569
Rb 0.250 0.691 0.174
Rb 0.750 0.309 0.826
Rb 0.750 0.191 0.326
Rb 0.250 0.809 0.674
Rb 0.250 0.437 0.375
Rb 0.750 0.563 0.625
Rb 0.750 0.937 0.125
Rb 0.250 0.063 0.875
Sn 0.250 0.134 0.141
Sn 0.750 0.866 0.859
Sn 0.750 0.634 0.359
Sn 0.250 0.366 0.641
Bi 0.250 0.686 0.437
Bi 0.750 0.314 0.563
Bi 0.750 0.186 0.063
Bi 0.250 0.814 0.937
Bi 0.250 0.017 0.299
Bi 0.750 0.983 0.701
Bi 0.750 0.517 0.201
Bi 0.250 0.483 0.799
! Total energy (eV/atom): -2.73
! DOS at the Fermi energy (states/eV/f.u.): 1.759
! Magnetic moment (μB per cell): 0.00
! Energy relative to the elements (eV/atom): -0.287
! Offset from the most stable computed form (meV/atom): 0